#A
DFT (PBE) results for an optimized crystal structure of SbIr2Cl.

Cell: 3.1970 3.1970 7.9471 Å, 90.00 90.00 90.00°
Fractional positions:
Sb 0.0000 0.0000 0.0000
Ir 0.0000 0.0000 0.6112
Ir 0.5000 0.5000 0.7812
Cl 0.5000 0.5000 0.3856

Spin magnetization   0.000 μB per formula unit
Space-group type   P4mm, No. 99
Mass density   11.073 g/cm³

***

#B
DFT (PBE) results for an optimized crystal structure of SbIr2Cl.

Cell: 6.4824 6.4824 6.4824 Å, 90.00 90.00 90.00°
Fractional positions:
Sb 0.0000 0.0000 0.0000
Sb 0.0000 0.5000 0.5000
Sb 0.5000 0.0000 0.5000
Sb 0.5000 0.5000 0.0000
Ir 0.2500 0.2500 0.2500
Ir 0.2500 0.2500 0.7500
Ir 0.2500 0.7500 0.2500
Ir 0.2500 0.7500 0.7500
Ir 0.7500 0.2500 0.2500
Ir 0.7500 0.2500 0.7500
Ir 0.7500 0.7500 0.2500
Ir 0.7500 0.7500 0.7500
Cl 0.0000 0.0000 0.5000
Cl 0.0000 0.5000 0.0000
Cl 0.5000 0.0000 0.0000
Cl 0.5000 0.5000 0.5000

Spin magnetization   0.000 μB per formula unit
Space-group type   Fm-3m, No. 225
Mass density   13.208 g/cm³

***

#C
DFT (PBE) results for an optimized crystal structure of SbIr2Cl.

Cell: 2.9013 5.3581 10.0304 Å, 90.00 90.00 90.00°
Fractional positions:
Sb 0.0000 0.0000 0.0000
Sb 0.5000 0.5000 0.0000
Ir 0.0000 0.0000 0.5453
Ir 0.0000 0.5000 0.7668
Ir 0.5000 0.0000 0.7668
Ir 0.5000 0.5000 0.5453
Cl 0.0000 0.5000 0.3503
Cl 0.5000 0.0000 0.3503

Spin magnetization   0.000 μB per formula unit
Space-group type   Cmm2, No. 35
Mass density   11.537 g/cm³

***

Q: Which of them is the most stable? A: #A.

***

#A
DFT (PBE) results for an optimized crystal structure of Sb3IrCl.

Cell: 5.0879 5.0879 5.0879 Å, 90.00 90.00 90.00°
Fractional positions:
Sb 0.0000 0.0000 0.5000
Sb 0.0000 0.5000 0.0000
Sb 0.5000 0.0000 0.0000
Ir 0.5000 0.5000 0.5000
Cl 0.0000 0.0000 0.0000

Spin magnetization   0.000 μB per formula unit
Space-group type   Pm-3m, No. 221
Mass density   7.476 g/cm³

***

#B
DFT (PBE) results for an optimized crystal structure of Sb3IrCl.

Cell: 5.2435 5.2435 5.2435 Å, 90.00 90.00 90.00°
Fractional positions:
Sb 0.0000 0.0000 0.5000
Sb 0.0000 0.5000 0.0000
Sb 0.5000 0.0000 0.0000
Ir 0.0000 0.0000 0.0000
Cl 0.5000 0.5000 0.5000

Spin magnetization   0.000 μB per formula unit
Space-group type   Pm-3m, No. 221
Mass density   6.830 g/cm³

***

Q: Which of them is the most stable? A: #B.

***

#A
DFT (PBE) results for an optimized crystal structure of SbTe2IrCl.

Cell: 5.2786 5.2786 5.2684 Å, 90.00 90.00 90.00°
Fractional positions:
Sb 0.0000 0.0000 0.0000
Te 0.0000 0.5000 0.5000
Te 0.5000 0.0000 0.5000
Ir 0.0000 0.0000 0.5000
Cl 0.5000 0.5000 0.0000

Spin magnetization   0.000 μB per formula unit
Space-group type   P4/mmm, No. 123
Mass density   6.840 g/cm³

***

#B
DFT (PBE) results for an optimized crystal structure of SbTe2IrCl.

Cell: 5.2726 5.2726 5.0680 Å, 90.00 90.00 90.00°
Fractional positions:
Sb 0.0000 0.0000 0.0000
Te 0.0000 0.5000 0.5000
Te 0.5000 0.0000 0.5000
Ir 0.5000 0.5000 0.0000
Cl 0.0000 0.0000 0.5000

Spin magnetization   0.713 μB per formula unit
Space-group type   P4/mmm, No. 123
Mass density   7.126 g/cm³

***

Q: Which of them is the most stable? A: #A.

***

#A
DFT (PBE) results for an optimized crystal structure of Sc2IrCl.

Cell: 6.7949 6.7949 7.5863 Å, 90.00 90.00 90.00°
Fractional positions:
Sc 0.2432 0.2500 0.1250
Sc 0.2500 0.7432 0.3750
Sc 0.2500 0.7568 0.8750
Sc 0.2568 0.2500 0.6250
Sc 0.7432 0.7500 0.6250
Sc 0.7500 0.2432 0.8750
Sc 0.7500 0.2568 0.3750
Sc 0.7568 0.7500 0.1250
Ir 0.0000 0.0000 0.0000
Ir 0.0000 0.5000 0.2500
Ir 0.5000 0.0000 0.7500
Ir 0.5000 0.5000 0.5000
Cl 0.0000 0.0000 0.5000
Cl 0.0000 0.5000 0.7500
Cl 0.5000 0.0000 0.2500
Cl 0.5000 0.5000 0.0000

Spin magnetization   0.000 μB per formula unit
Space-group type   I-42d, No. 122
Mass density   6.022 g/cm³

***

#B
DFT (PBE) results for an optimized crystal structure of Sc2IrCl.

Cell: 6.8600 6.8774 3.0526 Å, 90.00 90.00 90.00°
Fractional positions:
Sc 0.2500 0.2500 0.0000
Sc 0.2500 0.7500 0.0000
Sc 0.7500 0.2500 0.0000
Sc 0.7500 0.7500 0.0000
Ir 0.0000 0.0000 0.5000
Ir 0.5000 0.5000 0.5000
Cl 0.0000 0.5000 0.5000
Cl 0.5000 0.0000 0.5000

Spin magnetization   0.000 μB per formula unit
Space-group type   Cmmm, No. 65
Mass density   7.323 g/cm³

***

Q: Which of them is the most stable? A: #B.